GeTe8Au6 | Alexandria via LeMat-Bulk | PBE | relaxed; V = 560.6 Å³ per cell; energy = -0.235 Ry per atom; M_tot = 0.00 Bohr magnetons per cell; formation energy (no corrections) = 102 meV per atom; mass density = 6739 kg/m3
1.0
-3.1346 -4.1318 -6.4071
2.0581 -7.1062 3.6513
-7.3372 -0.1389 3.7563
Au Te Ge
6 8 1
Direct
0.5838 0.1959 0.1820
0.1822 0.5840 0.1960
0.8178 0.4160 0.8040
0.4162 0.8041 0.8180
0.1957 0.1818 0.5837
0.8043 0.8182 0.4163
0.5285 0.3540 0.9129
0.8320 0.8303 0.8309
0.3538 0.9131 0.5288
0.1680 0.1697 0.1691
0.0870 0.4708 0.6461
0.9130 0.5292 0.3539
0.6462 0.0869 0.4712
0.4715 0.6460 0.0871
0.0000 0.0000 0.0000